1.
BaHfF6 | GGA-PBE | relaxed

Cell: 6.8198 6.8198 5.2531 Å, 90.00 90.00 113.76°
Fractional coordinates of all 16 atoms:
Ba (0.2500, 0.7500, 0.9234)
Ba (0.7500, 0.2500, 0.0766)
Hf (0.2500, 0.2500, 0.5000)
Hf (0.7500, 0.7500, 0.5000)
F (0.0588, 0.9412, 0.6747)
F (0.0607, 0.3205, 0.7467)
F (0.1795, 0.4393, 0.2533)
F (0.3205, 0.0607, 0.2533)
F (0.4393, 0.1795, 0.7467)
F (0.4412, 0.5588, 0.6747)
F (0.5588, 0.4412, 0.3253)
F (0.5607, 0.8205, 0.2533)
F (0.6795, 0.9393, 0.7467)
F (0.8205, 0.5607, 0.7467)
F (0.9393, 0.6795, 0.2533)
F (0.9412, 0.0588, 0.3253)

symmetry: Cmme

2.
BeFeSnAu | GGA-PBE | relaxed

Cell: 4.4174 4.4174 4.4174 Å, 60.00 60.00 60.00°
Fractional coordinates of all 4 atoms:
Be (0.0000, 0.0000, 0.0000)
Fe (0.2500, 0.2500, 0.2500)
Sn (0.5000, 0.5000, 0.5000)
Au (0.7500, 0.7500, 0.7500)

symmetry: F-43m
relative energy among the computed polymorphs: 0.0 kJ/mol of atoms

3.
BaReO3 | GGA-PBE | relaxed

Cell: 6.3605 6.3605 6.3605 Å, 53.65 53.65 53.65°
Fractional coordinates of all 10 atoms:
Ba (0.1279, 0.1279, 0.1279)
Ba (0.8721, 0.8721, 0.8721)
Re (0.3357, 0.3357, 0.3357)
Re (0.6643, 0.6643, 0.6643)
O (0.0609, 0.4753, 0.6608)
O (0.3392, 0.9391, 0.5247)
O (0.4753, 0.6608, 0.0609)
O (0.5247, 0.3392, 0.9391)
O (0.6608, 0.0609, 0.4753)
O (0.9391, 0.5247, 0.3392)

symmetry: R-3

4.
PmSiH2O4 | GGA-PBE | relaxed

Cell: 4.9169 5.7726 12.5114 Å, 90.00 102.89 90.00°
Fractional coordinates of all 32 atoms:
Pm (0.1088, 0.2385, 0.3425)
Pm (0.1088, 0.2615, 0.8425)
Pm (0.8912, 0.7385, 0.1575)
Pm (0.8912, 0.7615, 0.6575)
Si (0.2484, 0.2426, 0.0992)
Si (0.2484, 0.2574, 0.5992)
Si (0.7516, 0.7426, 0.4008)
Si (0.7516, 0.7574, 0.9008)
H (0.2749, 0.7477, 0.4775)
H (0.2749, 0.7523, 0.9775)
H (0.4969, 0.0091, 0.7481)
H (0.4969, 0.4909, 0.2481)
H (0.5031, 0.5091, 0.7519)
H (0.5031, 0.9909, 0.2519)
H (0.7251, 0.2477, 0.0225)
H (0.7251, 0.2523, 0.5225)
O (0.0590, 0.7469, 0.9860)
O (0.0590, 0.7531, 0.4860)
O (0.2756, 0.0196, 0.1854)
O (0.2756, 0.4804, 0.6854)
O (0.2854, 0.0337, 0.6872)
O (0.2854, 0.4663, 0.1872)
O (0.4451, 0.2471, 0.0116)
O (0.4451, 0.2529, 0.5116)
O (0.5549, 0.7471, 0.4884)
O (0.5549, 0.7529, 0.9884)
O (0.7146, 0.5337, 0.8128)
O (0.7146, 0.9663, 0.3128)
O (0.7244, 0.5196, 0.3146)
O (0.7244, 0.9804, 0.8146)
O (0.9410, 0.2469, 0.5140)
O (0.9410, 0.2531, 0.0140)

symmetry: P2_1/c
relative energy among the computed polymorphs: 5.4 kJ/mol of atoms

5.
LaPdW | GGA-PBE | relaxed

Cell: 7.8257 7.8257 7.8257 Å, 34.94 34.94 34.94°
Fractional coordinates of all 6 atoms:
La (0.0936, 0.0936, 0.0936)
La (0.9064, 0.9064, 0.9064)
Pd (0.4398, 0.4398, 0.4398)
Pd (0.5602, 0.5602, 0.5602)
W (0.3190, 0.3190, 0.3190)
W (0.6810, 0.6810, 0.6810)

symmetry: R-3m
relative energy among the computed polymorphs: 0.0 kJ/mol of atoms
formation energy from the elements: 0.199 eV per atom

6.
Ba2TmZnTe2O2 | GGA-PBE | relaxed

Cell: 4.3752 4.3752 13.5150 Å, 90.00 90.00 120.00°
Fractional coordinates of all 8 atoms:
Ba (0.0000, 0.0000, 0.0000)
Ba (0.3333, 0.6667, 0.4709)
Tm (0.6667, 0.3333, 0.7839)
Zn (0.6667, 0.3333, 0.2752)
Te (0.0000, 0.0000, 0.6628)
Te (0.3333, 0.6667, 0.1967)
O (0.6667, 0.3333, 0.4157)
O (0.6667, 0.3333, 0.9344)

symmetry: P3m1

Summary of magnetic moment in μB/cell
0.00; 1.86; 2.00; 3.15; 0.00; 0.99
(order as listed above)
Summary of energy in eV/atom
-6.7494; -4.5433; -7.5422; -6.5636; -7.4875; -5.0136
(order as listed above)
Summary of V in Å³/cell
223.61; 60.95; 154.92; 346.17; 140.32; 224.05
(order as listed above)